A plane-wave DFT calculation with PBE was carried out for a relaxed structure of Sm2SbSe4.

Properties
Electronic total energy (eV per atom): -5.17
E_form (uncorrected) (eV/atom): -1.240
DOS(E_F) (states/eV per atom): 0.503
V (Å³/atom): 30.3

extended XYZ file:
```
7
Lattice="4.154 0.000 0.000 0.000 7.381 -0.120 -2.077 -3.713 6.985" Properties=species:S:1:pos:R:3 pbc="T T T"
Sm 2.077 3.768 3.140
Sm 0.000 -0.100 3.724
Sb 0.000 0.000 0.000
Se 2.077 -1.394 5.221
Se 0.000 5.062 1.644
Se 2.077 1.110 1.867
Se 0.000 2.558 4.998
```